Entry 1:
Computed, not measured: In4Ag9 after structural relaxation at the PBE level of DFT.

```
data_In4Ag9
_chemical_formula_sum 'In16 Ag36'
_space_group_name_H-M_alt 'P -4 3 m'
_space_group_IT_number 215
_space_group_name_Hall 'P -4 2 3'
_cell_length_a 10.0496
_cell_length_b 10.0496
_cell_length_c 10.0496
_cell_angle_alpha 90.00
_cell_angle_beta 90.00
_cell_angle_gamma 90.00
loop_
_atom_site_label
_atom_site_fract_x
_atom_site_fract_y
_atom_site_fract_z
In1 0.0338 0.3102 0.3102
In2 0.3774 0.3774 0.6226
Ag1 0.0000 0.0000 0.3565
Ag2 0.1052 0.1052 0.1052
Ag3 0.1434 0.5000 0.5000
Ag4 0.1743 0.1743 0.8257
Ag5 0.1828 0.1828 0.5294
Ag6 0.3292 0.3292 0.3292
```

## Properties
The energy of formation from the pure elements is -32 meV/atom.

Entry 2:
Computed, not measured: ScAsI2 after structural relaxation at the PBE level of DFT.

```
data_ScAsI2
_chemical_formula_sum 'Sc4 As4 I8'
_space_group_name_H-M_alt 'I -4 2 d'
_space_group_IT_number 122
_space_group_name_Hall 'I -4 2bw'
_cell_length_a 10.7472
_cell_length_b 10.7472
_cell_length_c 5.2468
_cell_angle_alpha 90.00
_cell_angle_beta 90.00
_cell_angle_gamma 90.00
loop_
_atom_site_label
_atom_site_fract_x
_atom_site_fract_y
_atom_site_fract_z
Sc1 0.0000 0.0000 0.0000
As1 0.0000 0.0000 0.5000
I1 0.0861 0.2500 0.1250
```

## Properties
For the energy relative to the elements, uncorrected, the calculation gives -0.4761 eV/atom. As for the energy above the most stable polymorph in this dataset: 0.000 eV/atom.

Entry 3:
Computed, not measured: YInHg2 after structural relaxation at the PBE level of DFT.

```
data_YInHg2
_chemical_formula_sum 'Y3 In3 Hg6'
_space_group_name_H-M_alt 'R 3 m'
_space_group_IT_number 160
_space_group_name_Hall 'R 3 -2"'
_cell_length_a 3.5993
_cell_length_b 3.5993
_cell_length_c 28.7057
_cell_angle_alpha 90.00
_cell_angle_beta 90.00
_cell_angle_gamma 120.00
loop_
_atom_site_label
_atom_site_fract_x
_atom_site_fract_y
_atom_site_fract_z
Y1 0.0000 0.0000 0.0000
In1 0.0000 0.0000 0.2444
Hg1 0.0000 0.0000 0.4967
Hg2 0.0000 0.0000 0.7496
```

## Properties
The energy of formation from the pure elements is -129 meV/atom.

Entry 4:
Computed, not measured: TlSnBr after structural relaxation at the PBE level of DFT.

```
data_TlSnBr
_chemical_formula_sum 'Tl4 Sn4 Br4'
_space_group_name_H-M_alt 'A m m 2'
_space_group_IT_number 38
_space_group_name_Hall 'A 2 -2'
_cell_length_a 14.7221
_cell_length_b 3.8852
_cell_length_c 6.5022
_cell_angle_alpha 90.00
_cell_angle_beta 90.00
_cell_angle_gamma 90.00
loop_
_atom_site_label
_atom_site_fract_x
_atom_site_fract_y
_atom_site_fract_z
Tl1 0.1703 0.0000 0.0000
Sn1 0.0000 0.0000 0.3431
Sn2 0.5000 0.0000 0.2605
Br1 0.3491 0.0000 0.6622
```

## Properties
For the energy relative to the elements, uncorrected, the calculation gives -0.2391 eV/atom.

Entry 5:
Computed, not measured: ScTlTc2C after structural relaxation at the PBE level of DFT.

```
data_ScTlTc2C
_chemical_formula_sum 'Sc1 Tl1 Tc2 C1'
_space_group_name_H-M_alt 'P 4/m m m'
_space_group_IT_number 123
_space_group_name_Hall '-P 4 2'
_cell_length_a 5.1328
_cell_length_b 5.1328
_cell_length_c 4.0129
_cell_angle_alpha 90.00
_cell_angle_beta 90.00
_cell_angle_gamma 90.00
loop_
_atom_site_label
_atom_site_fract_x
_atom_site_fract_y
_atom_site_fract_z
Sc1 0.0000 0.0000 0.0000
Tl1 0.5000 0.5000 0.5000
Tc1 0.0000 0.5000 0.5000
C1 0.5000 0.5000 0.0000
```

## Properties
The energy of formation from the pure elements is 2390 meV/atom. As for the energy above the most stable polymorph in this dataset: 2.391 eV/atom.

Entry 6:
Computed, not measured: ZnCu2Au after structural relaxation at the PBE level of DFT.

```
data_ZnCu2Au
_chemical_formula_sum 'Zn2 Cu4 Au2'
_space_group_name_H-M_alt 'I m m m'
_space_group_IT_number 71
_space_group_name_Hall '-I 2 2'
_cell_length_a 2.6968
_cell_length_b 4.4925
_cell_length_c 10.2415
_cell_angle_alpha 90.00
_cell_angle_beta 90.00
_cell_angle_gamma 90.00
loop_
_atom_site_label
_atom_site_fract_x
_atom_site_fract_y
_atom_site_fract_z
Zn1 0.0000 0.0000 0.0000
Cu1 0.0000 0.0000 0.2453
Au1 0.0000 0.0000 0.5000
```

## Properties
The energy of formation from the pure elements is 149 meV/atom.

Entry 7:
Computed, not measured: K3Np3TaSe8 after structural relaxation at the PBE level of DFT.

```
data_K3Np3TaSe8
_chemical_formula_sum 'K9 Np9 Ta3 Se24'
_space_group_name_H-M_alt 'R -3 m'
_space_group_IT_number 166
_space_group_name_Hall '-R 3 2"'
_cell_length_a 8.1633
_cell_length_b 8.1633
_cell_length_c 23.7536
_cell_angle_alpha 90.00
_cell_angle_beta 90.00
_cell_angle_gamma 120.00
loop_
_atom_site_label
_atom_site_fract_x
_atom_site_fract_y
_atom_site_fract_z
K1 0.0000 0.5000 0.0000
Np1 0.0000 0.5000 0.5000
Ta1 0.0000 0.0000 0.5000
Se1 0.0000 0.0000 0.2368
Se2 0.0229 0.5114 0.2318
```

## Properties
For the energy relative to the elements, uncorrected, the calculation gives -1.1318 eV/atom.

Entry 8:
Computed, not measured: Sr2H6RuAu after structural relaxation at the PBE level of DFT.

```
data_Sr2H6RuAu
_chemical_formula_sum 'Sr2 H6 Ru1 Au1'
_space_group_name_H-M_alt 'P -3 m 1'
_space_group_IT_number 164
_space_group_name_Hall '-P 3 2"'
_cell_length_a 5.2137
_cell_length_b 5.2137
_cell_length_c 5.5633
_cell_angle_alpha 90.00
_cell_angle_beta 90.00
_cell_angle_gamma 120.00
loop_
_atom_site_label
_atom_site_fract_x
_atom_site_fract_y
_atom_site_fract_z
Sr1 0.3333 0.6667 0.2263
H1 0.1661 0.3322 0.8434
Ru1 0.0000 0.0000 0.0000
Au1 0.0000 0.0000 0.5000
```

## Properties
The calculation puts the total energy at -3.98 eV/atom.

Entry 9:
Computed, not measured: PrErNi after structural relaxation at the PBE level of DFT.

```
data_PrErNi
_chemical_formula_sum 'Pr4 Er4 Ni4'
_space_group_name_H-M_alt 'F -4 3 m'
_space_group_IT_number 216
_space_group_name_Hall 'F -4 2 3'
_cell_length_a 6.8198
_cell_length_b 6.8198
_cell_length_c 6.8198
_cell_angle_alpha 90.00
_cell_angle_beta 90.00
_cell_angle_gamma 90.00
loop_
_atom_site_label
_atom_site_fract_x
_atom_site_fract_y
_atom_site_fract_z
Pr1 0.0000 0.0000 0.0000
Er1 0.0000 0.0000 0.5000
Ni1 0.2500 0.2500 0.2500
```

## Properties
The energy of formation from the pure elements is -102 meV/atom. As for the energy above the most stable polymorph in this dataset: 0.141 eV/atom.

Entry 10:
Computed, not measured: Al3SiNi3 after structural relaxation at the PBE level of DFT.

```
data_Al3SiNi3
_chemical_formula_sum 'Al6 Si2 Ni6'
_space_group_name_H-M_alt 'P m m n'
_space_group_IT_number 59
_cell_length_a 2.7777
_cell_length_b 7.5949
_cell_length_c 8.6935
_cell_angle_alpha 90.00
_cell_angle_beta 90.00
_cell_angle_gamma 90.00
loop_
_space_group_symop_operation_xyz
'x,y,z'
'-x,-y,-z'
'-x+1/2,-y+1/2,z'
'x+1/2,y+1/2,-z'
'x+1/2,-y,-z'
'-x+1/2,y,z'
'-x,y+1/2,-z'
'x,-y+1/2,z'
loop_
_atom_site_label
_atom_site_fract_x
_atom_site_fract_y
_atom_site_fract_z
Al1 0.2500 0.0702 0.1212
Al2 0.2500 0.7500 0.6068
Si1 0.2500 0.2500 0.7225
Ni1 0.2500 0.5281 0.3801
Ni2 0.2500 0.7500 0.0538
```

## Properties
For the energy relative to the elements, uncorrected, the calculation gives -0.4045 eV/atom. As for the energy above the most stable polymorph in this dataset: 0.090 eV/atom.

Entry 11:
Computed, not measured: EuYPdRu after structural relaxation at the PBE level of DFT.

```
data_EuYPdRu
_chemical_formula_sum 'Eu4 Y4 Pd4 Ru4'
_space_group_name_H-M_alt 'F -4 3 m'
_space_group_IT_number 216
_space_group_name_Hall 'F -4 2 3'
_cell_length_a 6.9939
_cell_length_b 6.9939
_cell_length_c 6.9939
_cell_angle_alpha 90.00
_cell_angle_beta 90.00
_cell_angle_gamma 90.00
loop_
_atom_site_label
_atom_site_fract_x
_atom_site_fract_y
_atom_site_fract_z
Eu1 0.0000 0.0000 0.0000
Y1 0.0000 0.0000 0.5000
Pd1 0.2500 0.2500 0.2500
Ru1 0.2500 0.2500 0.7500
```

## Properties
The energy of formation from the pure elements is -339 meV/atom.

Entry 12:
Computed, not measured: LiP2 after structural relaxation at the PBE level of DFT.

```
data_LiP2
_chemical_formula_sum 'Li2 P4'
_space_group_name_H-M_alt 'C 1 2/m 1'
_space_group_IT_number 12
_space_group_name_Hall '-C 2y'
_cell_length_a 8.4371
_cell_length_b 3.2930
_cell_length_c 3.9972
_cell_angle_alpha 90.00
_cell_angle_beta 106.66
_cell_angle_gamma 90.00
loop_
_atom_site_label
_atom_site_fract_x
_atom_site_fract_y
_atom_site_fract_z
Li1 0.0000 0.0000 0.0000
P1 0.2177 0.0000 0.6458
```

## Properties
The energy of formation from the pure elements is -269 meV/atom. As for the energy above the most stable polymorph in this dataset: 0.069 eV/atom.

no.,N(E_F) (states/eV/f.u.)
1,2.0
2,0.2
3,3.0
4,1.1
5,5.9
6,1.1
7,31.5
8,2.9
9,2.7
10,2.7
11,10.1
12,0.7